## i
! KTl3O (PBE, optimized geometry); values from VASP
&SYSTEM
  ibrav = 0, nat = 5, ntyp = 3
/
ATOMIC_SPECIES
K 39.10 K.upf
Tl 204.38 Tl.upf
O 16.00 O.upf
ATOMIC_POSITIONS crystal
K 0.0000 0.0000 0.0000
Tl 0.0000 0.0000 0.5000
Tl 0.0000 0.5000 0.0000
Tl 0.5000 0.0000 0.0000
O 0.5000 0.5000 0.5000
CELL_PARAMETERS angstrom
6.2495 0.0000 0.0000
0.0000 6.2495 0.0000
0.0000 0.0000 6.2495
! Crystal system   cubic
! SG   Pm-3m

***

## ii
! KTl3O (PBE, optimized geometry); values from VASP
&SYSTEM
  ibrav = 0, nat = 5, ntyp = 3
/
ATOMIC_SPECIES
K 39.10 K.upf
Tl 204.38 Tl.upf
O 16.00 O.upf
ATOMIC_POSITIONS crystal
K 0.0000 0.0000 0.0000
Tl 0.0000 0.5000 0.5000
Tl 0.5000 0.0000 0.5000
Tl 0.5000 0.5000 0.0000
O 0.5000 0.5000 0.5000
CELL_PARAMETERS angstrom
5.3174 0.0000 0.0000
0.0000 5.3174 0.0000
0.0000 0.0000 5.3174
! Crystal system   cubic
! SG   Pm-3m

***

It is ii that is most stable; the runner-up trails by 1178 meV/atom.

***

## i
! K2Tl2O (PBE, optimized geometry); values from VASP
&SYSTEM
  ibrav = 0, nat = 10, ntyp = 3
/
ATOMIC_SPECIES
K 39.10 K.upf
Tl 204.38 Tl.upf
O 16.00 O.upf
ATOMIC_POSITIONS crystal
K 0.1720 0.3280 0.0000
K 0.3280 0.8280 0.0000
K 0.6720 0.1720 0.0000
K 0.8280 0.6720 0.0000
Tl 0.1855 0.6855 0.5000
Tl 0.3145 0.1855 0.5000
Tl 0.6855 0.8145 0.5000
Tl 0.8145 0.3145 0.5000
O 0.0000 0.0000 0.0000
O 0.5000 0.5000 0.0000
CELL_PARAMETERS angstrom
6.7858 0.0000 0.0000
0.0000 6.7858 0.0000
0.0000 0.0000 7.1888
! Crystal system   tetragonal
! SG   P4/mbm

***

## ii
! K2Tl2O (PBE, optimized geometry); values from VASP
&SYSTEM
  ibrav = 0, nat = 5, ntyp = 3
/
ATOMIC_SPECIES
K 39.10 K.upf
Tl 204.38 Tl.upf
O 16.00 O.upf
ATOMIC_POSITIONS crystal
K 0.0708 0.0708 0.0000
K 0.9292 0.9292 0.0000
Tl 0.2500 0.7500 0.5000
Tl 0.7500 0.2500 0.5000
O 0.5000 0.5000 0.0000
CELL_PARAMETERS angstrom
-2.0727 2.0727 10.3642
2.0727 -2.0727 10.3642
2.0727 2.0727 -10.3642
! Crystal system   tetragonal
! SG   I4/mmm

***

It is i that is most stable; the runner-up trails by 99 meV/atom.

***

## i
! K2U2O7 (PBE, optimized geometry); values from VASP
&SYSTEM
  ibrav = 0, nat = 11, ntyp = 3
/
ATOMIC_SPECIES
K 39.10 K.upf
U 238.03 U.upf
O 16.00 O.upf
ATOMIC_POSITIONS crystal
K 0.0000 0.0000 0.0000
K 0.4948 0.5000 0.9857
U 0.5183 0.0000 0.4954
U 0.9846 0.5000 0.5020
O 0.0820 0.5000 0.7837
O 0.3002 0.5000 0.5092
O 0.4132 0.0000 0.2202
O 0.6021 0.0000 0.7707
O 0.6535 0.5000 0.4836
O 0.8832 0.0000 0.5099
O 0.9015 0.5000 0.2205
CELL_PARAMETERS angstrom
6.9892 0.0000 0.0000
0.0000 4.0495 0.0000
-2.3220 0.0000 6.7747
! Crystal system   monoclinic
! SG   Pm

***

## ii
! K2U2O7 (PBE, optimized geometry); values from VASP
&SYSTEM
  ibrav = 0, nat = 22, ntyp = 3
/
ATOMIC_SPECIES
K 39.10 K.upf
U 238.03 U.upf
O 16.00 O.upf
ATOMIC_POSITIONS crystal
K 0.2399 0.4887 0.3816
K 0.2558 0.4902 0.8743
K 0.7442 0.5098 0.1257
K 0.7601 0.5113 0.6184
U 0.0000 0.0000 0.0000
U 0.0000 0.0000 0.5000
U 0.4681 0.9949 0.2519
U 0.5319 0.0051 0.7481
O 0.0529 0.7214 0.0614
O 0.0565 0.7208 0.5784
O 0.1312 0.9885 0.2531
O 0.3102 0.0155 0.5459
O 0.3110 0.0134 0.9455
O 0.4292 0.2698 0.1837
O 0.4879 0.2802 0.6797
O 0.5121 0.7198 0.3203
O 0.5708 0.7302 0.8163
O 0.6890 0.9866 0.0545
O 0.6898 0.9845 0.4541
O 0.8688 0.0115 0.7469
O 0.9435 0.2792 0.4216
O 0.9471 0.2786 0.9386
CELL_PARAMETERS angstrom
6.9469 0.0000 0.0000
1.1769 7.0974 0.0000
0.0133 2.2635 7.7021
! Crystal system   triclinic
! SG   P-1

***

It is ii that is most stable; the runner-up trails by 57 meV/atom.